(1)
The following is a DFT calculation (PBE) of a relaxed structure of BAsRu2.

Cell and atoms, written as CIF:
```
data_BAsRu2
_chemical_formula_sum 'B2 As2 Ru4'
_space_group_name_H-M_alt 'P 1'
_space_group_IT_number 1
_space_group_name_Hall 'P 1'
_cell_length_a 5.125
_cell_length_b 5.125
_cell_length_c 6.100
_cell_angle_alpha 65.16
_cell_angle_beta 65.16
_cell_angle_gamma 90.00
loop_
_atom_site_label
_atom_site_fract_x
_atom_site_fract_y
_atom_site_fract_z
B1 0.250 0.750 0.500
B2 0.500 0.500 0.000
Ru1 0.569 0.125 0.250
Ru2 0.181 0.625 0.250
Ru3 0.375 0.431 0.750
Ru4 0.875 0.819 0.750
As1 0.750 0.250 0.500
As2 0.000 0.000 0.000
```

Output
Space-group type: I-42d, No. 122

---

(2)
The following is a DFT calculation (PBE) of a relaxed structure of BAsRu2.

Cell and atoms, written as CIF:
```
data_BAsRu2
_chemical_formula_sum 'B1 As1 Ru2'
_space_group_name_H-M_alt 'P 1'
_space_group_IT_number 1
_space_group_name_Hall 'P 1'
_cell_length_a 4.101
_cell_length_b 4.101
_cell_length_c 4.101
_cell_angle_alpha 60.00
_cell_angle_beta 60.00
_cell_angle_gamma 60.00
loop_
_atom_site_label
_atom_site_fract_x
_atom_site_fract_y
_atom_site_fract_z
B1 0.000 0.000 0.000
Ru1 0.250 0.250 0.250
Ru2 0.750 0.750 0.750
As1 0.500 0.500 0.500
```

Output
Space-group type: Fm-3m, No. 225

---

Stability summary - winner: (2); margin: 0.109 eV/atom.

---

(1)
The following is a DFT calculation (PBE) of a relaxed structure of B3AsRu.

Cell and atoms, written as CIF:
```
data_B3AsRu
_chemical_formula_sum 'B3 As1 Ru1'
_space_group_name_H-M_alt 'P 1'
_space_group_IT_number 1
_space_group_name_Hall 'P 1'
_cell_length_a 4.026
_cell_length_b 4.026
_cell_length_c 4.026
_cell_angle_alpha 90.00
_cell_angle_beta 90.00
_cell_angle_gamma 90.00
loop_
_atom_site_label
_atom_site_fract_x
_atom_site_fract_y
_atom_site_fract_z
B1 0.000 0.500 0.000
B2 0.000 0.000 0.500
As1 0.000 0.000 0.000
Ru1 0.500 0.500 0.500
B3 0.500 0.000 0.000
```

Output
Space-group type: Pm-3m, No. 221

---

(2)
The following is a DFT calculation (PBE) of a relaxed structure of B3AsRu.

Cell and atoms, written as CIF:
```
data_B3AsRu
_chemical_formula_sum 'B3 As1 Ru1'
_space_group_name_H-M_alt 'P 1'
_space_group_IT_number 1
_space_group_name_Hall 'P 1'
_cell_length_a 4.114
_cell_length_b 4.114
_cell_length_c 4.114
_cell_angle_alpha 90.00
_cell_angle_beta 90.00
_cell_angle_gamma 90.00
loop_
_atom_site_label
_atom_site_fract_x
_atom_site_fract_y
_atom_site_fract_z
As1 0.500 0.500 0.500
B1 0.000 0.500 0.000
Ru1 0.000 0.000 0.000
B2 0.500 0.000 0.000
B3 0.000 0.000 0.500
```

Output
Space-group type: Pm-3m, No. 221

---

Stability summary - winner: (2); margin: 0.783 eV/atom.

---

(1)
The following is a DFT calculation (PBE) of a relaxed structure of BAs3Ru.

Cell and atoms, written as CIF:
```
data_BAs3Ru
_chemical_formula_sum 'B1 As3 Ru1'
_space_group_name_H-M_alt 'P 1'
_space_group_IT_number 1
_space_group_name_Hall 'P 1'
_cell_length_a 4.763
_cell_length_b 4.763
_cell_length_c 4.763
_cell_angle_alpha 90.00
_cell_angle_beta 90.00
_cell_angle_gamma 90.00
loop_
_atom_site_label
_atom_site_fract_x
_atom_site_fract_y
_atom_site_fract_z
As1 0.000 0.000 0.500
Ru1 0.000 0.000 0.000
As2 0.000 0.500 0.000
B1 0.500 0.500 0.500
As3 0.500 0.000 0.000
```

Output
Space-group type: Pm-3m, No. 221

---

(2)
The following is a DFT calculation (PBE) of a relaxed structure of BAs3Ru.

Cell and atoms, written as CIF:
```
data_BAs3Ru
_chemical_formula_sum 'B1 As3 Ru1'
_space_group_name_H-M_alt 'P 1'
_space_group_IT_number 1
_space_group_name_Hall 'P 1'
_cell_length_a 4.277
_cell_length_b 4.277
_cell_length_c 4.277
_cell_angle_alpha 90.00
_cell_angle_beta 90.00
_cell_angle_gamma 90.00
loop_
_atom_site_label
_atom_site_fract_x
_atom_site_fract_y
_atom_site_fract_z
As1 0.500 0.000 0.000
Ru1 0.500 0.500 0.500
B1 0.000 0.000 0.000
As2 0.000 0.500 0.000
As3 0.000 0.000 0.500
```

Output
Space-group type: Pm-3m, No. 221

---

Stability summary - winner: (2); margin: 0.397 eV/atom.

---

(1)
The following is a DFT calculation (PBE) of a relaxed structure of BAs2RuSe.

Cell and atoms, written as CIF:
```
data_BAs2RuSe
_chemical_formula_sum 'B1 As2 Ru1 Se1'
_space_group_name_H-M_alt 'P 1'
_space_group_IT_number 1
_space_group_name_Hall 'P 1'
_cell_length_a 4.247
_cell_length_b 4.247
_cell_length_c 4.393
_cell_angle_alpha 90.00
_cell_angle_beta 90.00
_cell_angle_gamma 90.00
loop_
_atom_site_label
_atom_site_fract_x
_atom_site_fract_y
_atom_site_fract_z
Se1 0.000 0.000 0.500
As1 0.500 0.000 0.000
As2 0.000 0.500 0.000
Ru1 0.500 0.500 0.500
B1 0.000 0.000 0.000
```

Output
Space-group type: P4/mmm, No. 123

---

(2)
The following is a DFT calculation (PBE) of a relaxed structure of BAs2RuSe.

Cell and atoms, written as CIF:
```
data_BAs2RuSe
_chemical_formula_sum 'B1 As2 Ru1 Se1'
_space_group_name_H-M_alt 'P 1'
_space_group_IT_number 1
_space_group_name_Hall 'P 1'
_cell_length_a 4.623
_cell_length_b 4.623
_cell_length_c 5.371
_cell_angle_alpha 90.00
_cell_angle_beta 90.00
_cell_angle_gamma 90.00
loop_
_atom_site_label
_atom_site_fract_x
_atom_site_fract_y
_atom_site_fract_z
Ru1 0.000 0.000 0.000
B1 0.500 0.500 0.500
As1 0.500 0.000 0.000
Se1 0.000 0.000 0.500
As2 0.000 0.500 0.000
```

Output
Space-group type: P4/mmm, No. 123

---

Stability summary - winner: (1); margin: 0.349 eV/atom.